No. 1
Computed, not measured: a geometry-optimized RbLiB2 structure at the PBE-GGA level of DFT.

abc: 9.496 9.496 9.496
angles: 157.96 157.96 31.36
Element x y z (fractional)
Rb1 0.375 0.625 0.750
Rb2 0.625 0.375 0.250
Li1 0.125 0.875 0.250
Li2 0.875 0.125 0.750
B1 0.000 0.000 0.000
B2 0.000 0.000 0.500
B3 0.000 0.500 0.000
B4 0.500 0.000 0.500

Relative energy among the computed polymorphs: 0 meV/atom
Space group: I4_1/amd
E_form: 982.1 meV/atom
Crystal system: tetragonal

=====

No. 2
Computed, not measured: a geometry-optimized TlPdSe2 structure at the PBE-GGA level of DFT.

abc: 7.774 7.774 7.774
angles: 28.77 28.77 28.77
Element x y z (fractional)
Tl1 0.000 0.000 0.000
Pd1 0.167 0.167 0.167
Se1 0.559 0.559 0.559
Se2 0.774 0.774 0.774

Space group: R3m
ΔE_f (raw): -279 meV/atom
Crystal system: trigonal

=====

No. 3
Computed, not measured: a geometry-optimized Nd3TaO7 structure at the PBE-GGA level of DFT.

abc: 6.682 6.682 7.726
angles: 90.00 90.00 68.97
Element x y z (fractional)
Nd1 0.000 0.000 0.000
Nd2 0.000 0.000 0.500
Nd3 0.066 0.480 0.750
Nd4 0.480 0.066 0.250
Nd5 0.520 0.934 0.750
Nd6 0.934 0.520 0.250
Ta1 0.500 0.500 0.000
Ta2 0.500 0.500 0.500
O1 0.110 0.153 0.250
O2 0.153 0.110 0.750
O3 0.186 0.561 0.033
O4 0.186 0.561 0.467
O5 0.433 0.567 0.750
O6 0.439 0.814 0.033
O7 0.439 0.814 0.467
O8 0.561 0.186 0.533
O9 0.561 0.186 0.967
O10 0.567 0.433 0.250
O11 0.814 0.439 0.533
O12 0.814 0.439 0.967
O13 0.847 0.890 0.250
O14 0.890 0.847 0.750

Relative energy among the computed polymorphs: 5 meV/atom
Space group: Cmcm
ΔE_f (raw): -3298 meV/atom
Crystal system: orthorhombic

=====

No. 4
Computed, not measured: a geometry-optimized LiLaRe2 structure at the PBE-GGA level of DFT.

abc: 3.262 4.895 4.654
angles: 90.00 98.14 90.00
Element x y z (fractional)
Li1 0.000 0.000 0.000
La1 0.500 0.000 0.500
Re1 0.183 0.500 0.782
Re2 0.817 0.500 0.218

Relative energy among the computed polymorphs: 282 meV/atom
Space group: P2/m
E_form: 519.2 meV/atom
Crystal system: monoclinic

=====

No. 5
Computed, not measured: a geometry-optimized Tm3ScHg4 structure at the PBE-GGA level of DFT.

abc: 3.633 3.633 14.573
angles: 90.00 90.00 90.00
Element x y z (fractional)
Tm1 0.000 0.000 0.000
Tm2 0.000 0.000 0.255
Tm3 0.000 0.000 0.745
Sc1 0.000 0.000 0.500
Hg1 0.500 0.500 0.127
Hg2 0.500 0.500 0.384
Hg3 0.500 0.500 0.616
Hg4 0.500 0.500 0.873

Space group: P4/mmm
E_form: -460.8 meV/atom
Crystal system: tetragonal

=====

No. 6
Computed, not measured: a geometry-optimized Rb2GaAuCl6 structure at the PBE-GGA level of DFT.

abc: 7.273 7.273 7.273
angles: 60.00 60.00 60.00
Element x y z (fractional)
Rb1 0.250 0.250 0.250
Rb2 0.750 0.750 0.750
Ga1 0.000 0.000 0.000
Au1 0.500 0.500 0.500
Cl1 0.236 0.236 0.764
Cl2 0.236 0.764 0.236
Cl3 0.236 0.764 0.764
Cl4 0.764 0.236 0.236
Cl5 0.764 0.236 0.764
Cl6 0.764 0.764 0.236

Relative energy among the computed polymorphs: 136 meV/atom
Space group: Fm-3m
ΔE_f (raw): -1196 meV/atom
Crystal system: cubic

=====

no.,DOS(E_F) (states/eV/cell)
1,2.0
2,3.4
3,0.0
4,3.3
5,6.9
6,1.4